A plane-wave DFT calculation with PBE was carried out for ScTlCl after structural relaxation.

Values from the calculation:
- SG = I4mm, No. 107
- E above lowest polymorph (meV/atom) = 109
- formation energy from raw total energies (eV per atom) = -0.75

Lattice parameters (Å, degrees): 7.9113 7.9113 7.9113 156.25 156.25 33.84
Positions (direct):
Sc (0.3527, 0.3527, 0.0000)
Cl (0.9461, 0.9461, 0.0000)
Tl (0.7012, 0.7012, 0.0000)